No. 1
VASP calculation (GGA-PBE) on crystalline TlCl2F at its relaxed geometry.

Geometry as POSCAR:
```
TlCl2F
1.0
-4.7556 4.7556 2.2364
4.7556 -4.7556 2.2364
4.7556 4.7556 -2.2364
Tl Cl F
2 4 2
Cartesian
0.0000 0.0000 0.0000
0.0000 4.7556 1.1182
0.9903 2.3778 0.5591
-2.3778 3.7653 1.6773
-0.9903 7.1334 0.5591
2.3778 5.7459 1.6773
4.7556 0.0000 1.1182
0.0000 0.0000 2.2364
```

Output
Energy relative to the elements, uncorrected (eV/atom): -0.944
ΔE to the lowest computed polymorph (kcal/mol of atoms): 2.54
Volume (Å³/cell): 202.3
Magnetic moment (μB/f.u.): 0.00

No. 2
VASP calculation (GGA-PBE) on crystalline Tl3Cl5F at its relaxed geometry.

Geometry as POSCAR:
```
Tl3Cl5F
1.0
5.0443 -4.2945 0.0000
5.0443 4.2945 0.0000
-2.8547 0.0000 15.7273
Tl Cl F
6 10 2
Cartesian
0.0000 0.0000 0.0000
-0.9027 0.0000 5.2056
1.6154 0.0000 13.3442
3.6169 0.0000 7.8636
5.6184 0.0000 2.3831
8.1365 0.0000 10.5217
3.6169 2.5738 7.8636
4.5131 2.1868 2.5876
2.7207 2.1868 13.1397
0.2997 0.0000 15.4467
2.6559 0.0000 5.5953
4.5779 0.0000 10.1320
6.9341 0.0000 0.2806
4.5131 -2.1868 2.5876
2.7207 -2.1868 13.1397
3.6169 -2.5738 7.8636
0.3082 0.0000 11.6458
6.9256 0.0000 4.0815
```

Output
Energy relative to the elements, uncorrected (eV/atom): -0.931
Volume (Å³/cell): 681.4
Magnetic moment (μB/f.u.): 0.00

No. 3
VASP calculation (GGA-PBE) on crystalline Tl3ClF at its relaxed geometry.

Geometry as POSCAR:
```
Tl3ClF
1.0
5.3535 0.0000 0.0000
0.0000 5.3535 0.0000
0.0000 0.0000 5.3535
Tl Cl F
3 1 1
Cartesian
0.0000 0.0000 2.6767
0.0000 2.6767 0.0000
2.6767 0.0000 0.0000
2.6767 2.6767 2.6767
0.0000 0.0000 0.0000
```

Output
Energy relative to the elements, uncorrected (eV/atom): -0.877
ΔE to the lowest computed polymorph (kcal/mol of atoms): 0.00
Volume (Å³/cell): 153.4
Magnetic moment (μB/f.u.): 0.00

No. 4
VASP calculation (GGA-PBE) on crystalline TlCl2F at its relaxed geometry.

Geometry as POSCAR:
```
TlCl2F
1.0
-1.9007 2.2354 6.2995
1.9007 -2.2354 6.2995
1.9007 2.2354 -6.2995
Tl Cl F
1 2 1
Cartesian
0.0000 0.0000 0.0000
1.9007 0.0000 1.7917
0.0000 2.2354 4.5078
0.0000 2.2354 0.0000
```

Output
Energy relative to the elements, uncorrected (eV/atom): -1.054
ΔE to the lowest computed polymorph (kcal/mol of atoms): 0.00
Volume (Å³/cell): 107.1
Magnetic moment (μB/f.u.): 0.00

No. 5
VASP calculation (GGA-PBE) on crystalline Tl4ClF3 at its relaxed geometry.

Geometry as POSCAR:
```
Tl4ClF3
1.0
10.8352 0.0000 0.0000
0.0000 6.4826 0.0000
0.0000 0.0000 6.3784
Tl Cl F
8 2 6
Cartesian
0.0000 0.9542 0.0000
0.0000 4.7590 3.4389
2.3298 1.5704 3.1124
3.0878 4.9122 6.3016
5.4176 1.7236 0.2497
5.4176 5.5284 3.1892
7.7474 4.9122 6.3016
8.5054 1.5704 3.1124
0.0000 3.9626 0.4539
5.4176 2.5199 3.6431
0.0000 0.6037 2.4616
2.6330 5.7007 3.9593
2.7846 0.7819 0.7701
5.4176 5.8789 5.6508
8.0506 0.7819 0.7701
8.2022 5.7007 3.9593
```

Output
Energy relative to the elements, uncorrected (eV/atom): -1.547
ΔE to the lowest computed polymorph (kcal/mol of atoms): 0.00
Volume (Å³/cell): 448.0
Magnetic moment (μB/f.u.): 0.00

No. 6
VASP calculation (GGA-PBE) on crystalline Tl4Cl3F at its relaxed geometry.

Geometry as POSCAR:
```
Tl4Cl3F
1.0
12.6522 0.0000 0.0000
0.0000 6.4828 0.0000
0.0000 0.0000 6.4738
Tl Cl F
8 6 2
Cartesian
0.0000 1.3710 0.0000
0.0000 4.9078 3.5371
2.8611 4.8495 0.0411
3.4650 1.6333 3.2780
6.3261 1.5750 0.3002
6.3261 5.1118 3.2369
9.1872 1.6333 3.2780
9.7911 4.8495 0.0411
0.0000 1.5717 3.2948
3.1666 1.5308 0.0611
3.1595 4.9519 3.2980
6.3261 4.9111 0.0579
9.4856 1.5308 0.0611
9.4927 4.9519 3.2980
0.0000 5.3293 6.0656
6.3261 1.1535 2.8287
```

Output
Energy relative to the elements, uncorrected (eV/atom): -1.176
ΔE to the lowest computed polymorph (kcal/mol of atoms): 0.00
Volume (Å³/cell): 531.0
Magnetic moment (μB/f.u.): 0.00